[1]
ZrBeCr2: optimized geometry, PBE.

Unit cell a=5.0551 b=5.0551 c=2.6880 alpha=102.12 beta=102.12 gamma=119.03
Last column: nearest neighbours and their distance in Å.
Atoms (fractional coordinates):
Zr 0.0000 0.0000 0.0000  4 Be 2.56-2.85, 4 Cr 2.60, 2 Zr 2.69
Be 0.5000 0.5000 0.0000  4 Zr 2.56-2.85, 4 Cr 2.60, 2 Be 2.69
Cr 0.0000 0.5000 0.5000  6 Cr 2.56-2.85, 2 Zr 2.60, 2 Be 2.60
Cr 0.5000 0.0000 0.5000  6 Cr 2.56-2.85, 2 Zr 2.60, 2 Be 2.60

Properties
Formation energy from the elements: 1.674 eV per formula unit
Magnetic moment: 0.0 μB per formula unit
Space group: C2/m (12)

---

[2]
FePt2Br: optimized geometry, PBE.

Unit cell a=3.2142 b=3.2481 c=6.8156 alpha=90.00 beta=90.00 gamma=90.00
Last column: nearest neighbours and their distance in Å.
Atoms (fractional coordinates):
Fe 0.0000 0.0000 0.0000  5 Pt 2.60-2.75
Pt 0.0000 0.0000 0.4034  4 Pt 2.74, 1 Fe 2.75
Pt 0.5000 0.5000 0.1820  4 Fe 2.60, 4 Pt 2.74
Br 0.5000 0.5000 0.7266  4 Fe 2.95, 5 Pt 3.10-3.17, 4 Br 3.21-3.25

Properties
Formation energy from raw total energies: 325 meV/atom
Magnetic moment: 3.6 μB per formula unit
Space group: Pmm2 (25)
Relative energy among the computed polymorphs: 151 meV/atom

---

[3]
RhPbAu3: optimized geometry, PBE.

Unit cell a=5.0441 b=5.0441 c=5.0441 alpha=90.00 beta=90.00 gamma=90.00
Last column: nearest neighbours and their distance in Å.
Atoms (fractional coordinates):
Rh 0.0000 0.0000 0.0000  6 Au 2.52
Pb 0.5000 0.5000 0.5000  12 Au 3.57
Au 0.0000 0.0000 0.5000  2 Rh 2.52
Au 0.0000 0.5000 0.0000  2 Rh 2.52
Au 0.5000 0.0000 0.0000  2 Rh 2.52

Properties
Formation energy from the elements: 2.912 eV per formula unit
Magnetic moment: 0.0 μB per formula unit
Space group: Pm-3m (221)
Relative energy among the computed polymorphs: 0 meV/atom

---

> Look up the magnetic moment of the first one.

0.0 μB per formula unit